Here is BPO4 at its PBEsol-relaxed geometry from the Alexandria database. Energies are from SCAN.

Cell lengths 4.4926, 4.4926, 9.9689 Å; angles 90.00, 90.00, 120.00 degrees
Space group P3_121 (No. 152)
One atom of each set of equivalent atoms:
B  0.0000  0.4665  0.1667 (multiplicity 3)
P  0.0000  0.4656  0.6667 (multiplicity 3)
O  0.1232  0.7186  0.2761 (multiplicity 6)
O  0.1367  0.7300  0.7813 (multiplicity 6)

Computed properties:
* theoretical density: 3.0 g/cm³
* energy above the lowest structure with this stoichiometry: 0.025 eV/atom
* E_form (uncorrected): -15.1 eV/f.u.
* E: -9.6480 eV/atom

---

Here is NaTaBeSi2 at its PBEsol-relaxed geometry from the Alexandria database. Energies are from SCAN.

Cell lengths 4.277, 4.277, 4.232 Å; angles 90.00, 90.00, 90.00 degrees
Space group P4/mmm (No. 123)
One atom of each set of equivalent atoms:
Na  0.000  0.000  0.000 (multiplicity 1)
Ta  0.500  0.500  0.000 (multiplicity 1)
Be  0.000  0.000  0.500 (multiplicity 1)
Si  0.000  0.500  0.500 (multiplicity 2)

Computed properties:
* theoretical density: 5.8 g/cm³
* E_form (uncorrected): 5.4 eV/f.u.
* E: -17.9489 eV/atom

---

Here is ScCd at its PBEsol-relaxed geometry from the Alexandria database. Energies are from SCAN.

Cell lengths 9.936, 8.581, 6.035 Å; angles 90.00, 90.00, 90.00 degrees
Space group Pbcm (No. 57)
One atom of each set of equivalent atoms:
Sc  0.122  0.250  0.000 (multiplicity 4)
Sc  0.147  0.605  0.250 (multiplicity 4)
Sc  0.377  0.066  0.250 (multiplicity 4)
Cd  0.103  0.562  0.750 (multiplicity 4)
Cd  0.369  0.101  0.750 (multiplicity 4)
Cd  0.391  0.750  0.000 (multiplicity 4)

Computed properties:
* DFT formation energy: -308 meV per atom
* theoretical density: 6.1 g/cm³
* E: -22.6333 eV/atom